No. 1
YSc2Cd2 | GGA-PBE | optimized geometry

Structure (CIF):
```
data_YSc2Cd2
_cell_length_a 8.661
_cell_length_b 8.661
_cell_length_c 3.240
_cell_angle_alpha 90.00
_cell_angle_beta 90.00
_cell_angle_gamma 90.00
_symmetry_space_group_name_H-M 'P 1'
_symmetry_Int_Tables_number 1
loop_
_symmetry_equiv_pos_as_xyz
'x,y,z'
loop_
_atom_site_label
_atom_site_type_symbol
_atom_site_fract_x
_atom_site_fract_y
_atom_site_fract_z
Sc1 Sc 0.875 0.625 0.000
Cd1 Cd 0.174 0.674 0.500
Sc2 Sc 0.125 0.375 0.000
Cd2 Cd 0.326 0.174 0.500
Y1 Y 0.500 0.500 0.000
Sc3 Sc 0.375 0.875 0.000
Sc4 Sc 0.625 0.125 0.000
Y2 Y 0.000 0.000 0.000
Cd3 Cd 0.826 0.326 0.500
Cd4 Cd 0.674 0.826 0.500
```

Results
E_tot: -43.3 eV/cell
crystal system: tetragonal
ΔE to the lowest computed polymorph: 100 meV per atom
E_form: -66 kJ/mol of formula units

No. 2
Rb3Pu2PaO9 | GGA-PBE | optimized geometry

Structure (CIF):
```
data_Rb3Pu2PaO9
_cell_length_a 6.147
_cell_length_b 6.147
_cell_length_c 7.531
_cell_angle_alpha 90.00
_cell_angle_beta 90.00
_cell_angle_gamma 120.00
_symmetry_space_group_name_H-M 'P 1'
_symmetry_Int_Tables_number 1
loop_
_symmetry_equiv_pos_as_xyz
'x,y,z'
loop_
_atom_site_label
_atom_site_type_symbol
_atom_site_fract_x
_atom_site_fract_y
_atom_site_fract_z
O1 O 0.336 0.168 0.669
Pu1 Pu 0.667 0.333 0.837
O2 O 0.832 0.664 0.669
O3 O 0.500 0.500 0.000
Rb1 Rb 0.000 0.000 0.000
O4 O 0.832 0.168 0.669
Pa1 Pa 0.000 0.000 0.500
Rb2 Rb 0.333 0.667 0.667
O5 O 0.168 0.336 0.331
O6 O 0.664 0.832 0.331
Rb3 Rb 0.667 0.333 0.333
O7 O 0.500 0.000 0.000
Pu2 Pu 0.333 0.667 0.163
O8 O 0.000 0.500 0.000
O9 O 0.168 0.832 0.331
```

Results
E_tot: -126.5 eV/cell
crystal system: trigonal

No. 3
MnAs2P | GGA-PBE | optimized geometry

Structure (CIF):
```
data_MnAs2P
_cell_length_a 8.887
_cell_length_b 8.887
_cell_length_c 8.887
_cell_angle_alpha 19.00
_cell_angle_beta 19.00
_cell_angle_gamma 19.00
_symmetry_space_group_name_H-M 'P 1'
_symmetry_Int_Tables_number 1
loop_
_symmetry_equiv_pos_as_xyz
'x,y,z'
loop_
_atom_site_label
_atom_site_type_symbol
_atom_site_fract_x
_atom_site_fract_y
_atom_site_fract_z
As1 As 0.226 0.226 0.226
P1 P 0.766 0.766 0.766
Mn1 Mn 0.491 0.491 0.491
As2 As 0.017 0.017 0.017
```

Results
E_tot: -23.6 eV/cell
crystal system: trigonal
E_form: 31 kJ/mol of formula units

No. 4
YCd2S2 | GGA-PBE | optimized geometry

Structure (CIF):
```
data_YCd2S2
_cell_length_a 7.639
_cell_length_b 7.639
_cell_length_c 4.352
_cell_angle_alpha 90.00
_cell_angle_beta 90.00
_cell_angle_gamma 90.00
_symmetry_space_group_name_H-M 'P 1'
_symmetry_Int_Tables_number 1
loop_
_symmetry_equiv_pos_as_xyz
'x,y,z'
loop_
_atom_site_label
_atom_site_type_symbol
_atom_site_fract_x
_atom_site_fract_y
_atom_site_fract_z
S1 S 0.228 0.272 0.000
Y1 Y 0.500 0.500 0.000
S2 S 0.728 0.228 0.000
Cd1 Cd 0.375 0.125 0.500
Cd2 Cd 0.125 0.625 0.500
Cd3 Cd 0.875 0.375 0.500
S3 S 0.272 0.772 0.000
Y2 Y 0.000 0.000 0.000
S4 S 0.772 0.728 0.000
Cd4 Cd 0.625 0.875 0.500
```

Results
E_tot: -39.9 eV/cell
crystal system: tetragonal
ΔE to the lowest computed polymorph: 0 meV per atom

No. 5
HfTi2HgB | GGA-PBE | optimized geometry

Structure (CIF):
```
data_HfTi2HgB
_cell_length_a 4.347
_cell_length_b 4.347
_cell_length_c 4.545
_cell_angle_alpha 90.00
_cell_angle_beta 90.00
_cell_angle_gamma 90.00
_symmetry_space_group_name_H-M 'P 1'
_symmetry_Int_Tables_number 1
loop_
_symmetry_equiv_pos_as_xyz
'x,y,z'
loop_
_atom_site_label
_atom_site_type_symbol
_atom_site_fract_x
_atom_site_fract_y
_atom_site_fract_z
Hf1 Hf 0.000 0.000 0.500
Ti1 Ti 0.000 0.500 0.000
Hg1 Hg 0.500 0.500 0.500
B1 B 0.000 0.000 0.000
Ti2 Ti 0.500 0.000 0.000
```

Results
E_tot: -34.2 eV/cell
crystal system: tetragonal
E_form: -138 kJ/mol of formula units

No. 6
Cs3MnBr6 | GGA-PBE | optimized geometry

Structure (CIF):
```
data_Cs3MnBr6
_cell_length_a 8.753
_cell_length_b 8.753
_cell_length_c 8.753
_cell_angle_alpha 81.73
_cell_angle_beta 124.88
_cell_angle_gamma 124.88
_symmetry_space_group_name_H-M 'P 1'
_symmetry_Int_Tables_number 1
loop_
_symmetry_equiv_pos_as_xyz
'x,y,z'
loop_
_atom_site_label
_atom_site_type_symbol
_atom_site_fract_x
_atom_site_fract_y
_atom_site_fract_z
Mn1 Mn 0.000 0.000 0.000
Cs1 Cs 0.500 0.250 0.750
Br1 Br 0.700 0.700 0.000
Br2 Br 0.000 0.769 0.769
Cs2 Cs 0.000 0.500 0.500
Br3 Br 0.300 0.300 0.000
Br4 Br 0.300 0.000 0.300
Br5 Br 0.000 0.231 0.231
Br6 Br 0.700 0.000 0.700
Cs3 Cs 0.500 0.750 0.250
```

Results
E_tot: -35.0 eV/cell
crystal system: tetragonal

No. 7
Ta2BiP | GGA-PBE | optimized geometry

Structure (CIF):
```
data_Ta2BiP
_cell_length_a 5.090
_cell_length_b 5.090
_cell_length_c 8.566
_cell_angle_alpha 72.72
_cell_angle_beta 72.72
_cell_angle_gamma 90.00
_symmetry_space_group_name_H-M 'P 1'
_symmetry_Int_Tables_number 1
loop_
_symmetry_equiv_pos_as_xyz
'x,y,z'
loop_
_atom_site_label
_atom_site_type_symbol
_atom_site_fract_x
_atom_site_fract_y
_atom_site_fract_z
Ta1 Ta 0.375 0.489 0.750
Bi1 Bi 0.000 0.000 0.000
P1 P 0.250 0.750 0.500
Bi2 Bi 0.750 0.250 0.500
Ta2 Ta 0.239 0.625 0.250
Ta3 Ta 0.511 0.125 0.250
P2 P 0.500 0.500 0.000
Ta4 Ta 0.875 0.761 0.750
```

Results
E_tot: -60.9 eV/cell
crystal system: tetragonal
E_form: 246 kJ/mol of formula units

No. 8
Ho2CdNi12P3 | GGA-PBE | optimized geometry

Structure (CIF):
```
data_Ho2CdNi12P3
_cell_length_a 6.294
_cell_length_b 6.294
_cell_length_c 6.294
_cell_angle_alpha 85.58
_cell_angle_beta 85.58
_cell_angle_gamma 85.58
_symmetry_space_group_name_H-M 'P 1'
_symmetry_Int_Tables_number 1
loop_
_symmetry_equiv_pos_as_xyz
'x,y,z'
loop_
_atom_site_label
_atom_site_type_symbol
_atom_site_fract_x
_atom_site_fract_y
_atom_site_fract_z
Ho1 Ho 0.345 0.345 0.345
Ho2 Ho 0.655 0.655 0.655
P1 P 0.000 0.000 0.500
Ni1 Ni 0.380 0.896 0.380
Ni2 Ni 0.817 0.320 0.817
P2 P 0.500 0.000 0.000
Ni3 Ni 0.896 0.380 0.380
Ni4 Ni 0.183 0.680 0.183
Ni5 Ni 0.183 0.183 0.680
Cd1 Cd 0.000 0.000 0.000
Ni6 Ni 0.620 0.620 0.104
Ni7 Ni 0.380 0.380 0.896
Ni8 Ni 0.817 0.817 0.320
P3 P 0.000 0.500 0.000
Ni9 Ni 0.680 0.183 0.183
Ni10 Ni 0.320 0.817 0.817
Ni11 Ni 0.620 0.104 0.620
Ni12 Ni 0.104 0.620 0.620
```

Results
E_tot: -98.0 eV/cell
crystal system: trigonal
E_form: -225 kJ/mol of formula units

No. 9
YInSe | GGA-PBE | optimized geometry

Structure (CIF):
```
data_YInSe
_cell_length_a 3.917
_cell_length_b 3.917
_cell_length_c 6.477
_cell_angle_alpha 90.00
_cell_angle_beta 90.00
_cell_angle_gamma 120.00
_symmetry_space_group_name_H-M 'P 1'
_symmetry_Int_Tables_number 1
loop_
_symmetry_equiv_pos_as_xyz
'x,y,z'
loop_
_atom_site_label
_atom_site_type_symbol
_atom_site_fract_x
_atom_site_fract_y
_atom_site_fract_z
In1 In 0.000 0.000 0.996
Y1 Y 0.333 0.667 0.629
Se1 Se 0.667 0.333 0.376
```

Results
E_tot: -14.9 eV/cell
crystal system: trigonal
ΔE to the lowest computed polymorph: 237 meV per atom

No. 10
BaMg3Zn2 | GGA-PBE | optimized geometry

Structure (CIF):
```
data_BaMg3Zn2
_cell_length_a 4.505
_cell_length_b 9.093
_cell_length_c 8.711
_cell_angle_alpha 113.88
_cell_angle_beta 90.00
_cell_angle_gamma 104.34
_symmetry_space_group_name_H-M 'P 1'
_symmetry_Int_Tables_number 1
loop_
_symmetry_equiv_pos_as_xyz
'x,y,z'
loop_
_atom_site_label
_atom_site_type_symbol
_atom_site_fract_x
_atom_site_fract_y
_atom_site_fract_z
Zn1 Zn 0.810 0.621 0.329
Mg1 Mg 0.041 0.081 0.368
Zn2 Zn 0.519 0.038 0.159
Ba1 Ba 0.847 0.695 0.935
Zn3 Zn 0.481 0.962 0.841
Ba2 Ba 0.153 0.305 0.065
Mg2 Mg 0.319 0.639 0.560
Mg3 Mg 0.959 0.919 0.632
Mg4 Mg 0.681 0.361 0.440
Mg5 Mg 0.409 0.819 0.327
Zn4 Zn 0.190 0.379 0.671
Mg6 Mg 0.591 0.181 0.673
```

Results
E_tot: -20.1 eV/cell
crystal system: monoclinic
ΔE to the lowest computed polymorph: 7 meV per atom
E_form: -79 kJ/mol of formula units

No. 11
Be2CoNiH | GGA-PBE | optimized geometry

Structure (CIF):
```
data_Be2CoNiH
_cell_length_a 3.564
_cell_length_b 3.564
_cell_length_c 3.062
_cell_angle_alpha 90.00
_cell_angle_beta 90.00
_cell_angle_gamma 90.00
_symmetry_space_group_name_H-M 'P 1'
_symmetry_Int_Tables_number 1
loop_
_symmetry_equiv_pos_as_xyz
'x,y,z'
loop_
_atom_site_label
_atom_site_type_symbol
_atom_site_fract_x
_atom_site_fract_y
_atom_site_fract_z
Co1 Co 0.000 0.000 0.500
Ni1 Ni 0.500 0.500 0.500
H1 H 0.000 0.000 0.000
Be1 Be 0.500 0.000 0.000
Be2 Be 0.000 0.500 0.000
```

Results
E_tot: -24.5 eV/cell
crystal system: tetragonal
ΔE to the lowest computed polymorph: 0 meV per atom

No. 12
VGaS | GGA-PBE | optimized geometry

Structure (CIF):
```
data_VGaS
_cell_length_a 6.157
_cell_length_b 6.548
_cell_length_c 5.761
_cell_angle_alpha 90.00
_cell_angle_beta 90.00
_cell_angle_gamma 123.26
_symmetry_space_group_name_H-M 'P 1'
_symmetry_Int_Tables_number 1
loop_
_symmetry_equiv_pos_as_xyz
'x,y,z'
loop_
_atom_site_label
_atom_site_type_symbol
_atom_site_fract_x
_atom_site_fract_y
_atom_site_fract_z
Ga1 Ga 0.366 0.228 0.569
S1 S 0.570 0.789 0.906
V1 V 0.695 0.526 0.831
V2 V 0.305 0.474 0.169
Ga2 Ga 0.134 0.772 0.069
V3 V 0.195 0.526 0.669
S2 S 0.430 0.211 0.094
S3 S 0.070 0.789 0.594
Ga3 Ga 0.634 0.772 0.431
S4 S 0.930 0.211 0.406
Ga4 Ga 0.866 0.228 0.931
V4 V 0.805 0.474 0.331
```

Results
E_tot: -69.9 eV/cell
crystal system: monoclinic

Number 1: M_tot 0.49 μB/f.u.. Number 2: M_tot 6.00 μB/f.u.. Number 3: M_tot 0.79 μB/f.u.. Number 4: M_tot 0.90 μB/f.u.. Number 5: M_tot 0.00 μB/f.u.. Number 6: M_tot 4.00 μB/f.u.. Number 7: M_tot 0.00 μB/f.u.. Number 8: M_tot 0.00 μB/f.u.. Number 9: M_tot 0.00 μB/f.u.. Number 10: M_tot 0.00 μB/f.u.. Number 11: M_tot 0.00 μB/f.u.. Number 12: M_tot 0.00 μB/f.u..